Compound: NpH3Cl6O2
Source: the Alexandria database
Functional: PBE
Structure: optimized geometry

Computed properties:
VASP energy = -0.150 Ha/atom
spin magnetization = 4.87 μB/cell
space-group type = C2/m (12)
V = 23.7 Å³/atom

a b c (Å): 8.3129 6.2007 7.3540
angles (deg): 114.93 120.52 90.00
Closest atoms and distances in Å follow each position.
Atoms (fractional coordinates):
H 0.5000 0.5000 0.5000  2 Cl 1.68
Cl 0.7595 0.3816 0.2414  1 Np 2.44
Cl 0.2405 0.6184 0.7586  1 Np 2.44
O 0.1566 0.5810 0.1620  1 H 1.13
Cl 0.2405 0.1402 0.7586  1 Np 2.44
H 0.0000 0.5000 0.0000  2 O 1.13
H 0.5000 0.0000 0.5000  2 Cl 1.68
Cl 0.4289 0.1948 0.3897  2 H 1.68
O 0.8434 0.4190 0.8380  1 H 1.13
Cl 0.5711 0.8052 0.6103  2 H 1.68
Np 0.5000 0.0000 0.0000  4 Cl 2.44
Cl 0.7595 0.8598 0.2414  1 Np 2.44

=====

Compound: Np2H2SCl
Source: the Alexandria database
Functional: PBE
Structure: optimized geometry

Computed properties:
VASP energy = -0.268 Ha/atom
spin magnetization = 8.97 μB/cell
space-group type = P-3m1 (164)
V = 16.4 Å³/atom

a b c (Å): 3.8256 3.8256 7.7627
angles (deg): 90.00 90.00 120.00
Closest atoms and distances in Å follow each position.
Atoms (fractional coordinates):
H 0.3333 0.6667 0.2473  3 Np 2.22
Np 0.6667 0.3333 0.2770  3 H 2.22
S 0.0000 0.0000 0.5000  6 Np 2.81, 6 H 2.95
Cl 0.0000 0.0000 0.0000  6 H 2.93, 6 Np 3.08
Np 0.3333 0.6667 0.7230  3 H 2.22
H 0.6667 0.3333 0.7527  3 Np 2.22

=====

Compound: Np2H2SeCl
Source: the Alexandria database
Functional: PBE
Structure: optimized geometry

Computed properties:
VASP energy = -0.261 Ha/atom
spin magnetization = 9.00 μB/cell
space-group type = P-3m1 (164)
V = 17.4 Å³/atom

a b c (Å): 3.8796 3.8796 7.9870
angles (deg): 90.00 90.00 120.00
Closest atoms and distances in Å follow each position.
Atoms (fractional coordinates):
Cl 0.0000 0.0000 0.0000  6 H 2.95, 6 Np 3.07
H 0.6667 0.3333 0.7604  3 Np 2.25
Se 0.0000 0.0000 0.5000  6 Np 2.93, 6 H 3.06
Np 0.6667 0.3333 0.2632  3 H 2.25
H 0.3333 0.6667 0.2396  3 Np 2.25
Np 0.3333 0.6667 0.7368  3 H 2.25

=====

Compound: PmH2ClO2
Source: the Alexandria database
Functional: PBE
Structure: optimized geometry

Computed properties:
VASP energy = -0.214 Ha/atom
spin magnetization = 0.00 μB/cell
space-group type = P2_1/m (11)
V = 13.2 Å³/atom

a b c (Å): 3.9208 5.7867 7.0597
angles (deg): 98.85 90.00 90.00
Closest atoms and distances in Å follow each position.
Atoms (fractional coordinates):
O 0.2500 0.6104 0.6328  2 H 1.97
H 0.0474 0.1111 0.3304  1 O 0.99
H 0.5474 0.8889 0.6696  1 O 0.99
O 0.7500 0.3896 0.3672  2 H 1.97
H 0.4526 0.1111 0.3304  1 O 0.99
O 0.2500 0.0268 0.3696  2 H 0.99
O 0.7500 0.9732 0.6304  2 H 0.99
Pm 0.7500 0.4178 0.6976  4 O 2.31-2.54
Cl 0.2500 0.2461 0.9480  4 H 2.87-3.03, 3 Pm 2.91-2.92, 2 O 3.21
Cl 0.7500 0.7539 0.0520  4 H 2.87-3.03, 3 Pm 2.91-2.92, 2 O 3.21
Pm 0.2500 0.5822 0.3024  4 O 2.31-2.54
H 0.9526 0.8889 0.6696  1 O 0.99

=====

Compound: PmHClO2
Source: the Alexandria database
Functional: PBE
Structure: optimized geometry

Computed properties:
VASP energy = -0.214 Ha/atom
spin magnetization = 2.02 μB/cell
space-group type = P2_1/m (11)
V = 14.0 Å³/atom

a b c (Å): 3.8365 5.1866 7.2958
angles (deg): 104.75 90.00 90.00
Closest atoms and distances in Å follow each position.
Atoms (fractional coordinates):
H 0.2500 0.4118 0.3739  1 O 1.03
Cl 0.2500 0.7348 0.9442  2 H 2.96, 3 O 3.01-3.16, 4 Pm 3.02-3.05, 2 Cl 3.28
Pm 0.7500 0.8482 0.2785  5 O 2.33-2.44
O 0.7500 0.8830 0.6039  1 H 1.58
O 0.7500 0.4069 0.6598  1 H 1.03
H 0.7500 0.5882 0.6261  1 O 1.03
O 0.2500 0.1170 0.3961  1 H 1.58
O 0.2500 0.5931 0.3402  1 H 1.03
Pm 0.2500 0.1518 0.7215  5 O 2.33-2.44
Cl 0.7500 0.2652 0.0558  2 H 2.96, 3 O 3.01-3.16, 4 Pm 3.02-3.05, 2 Cl 3.28

=====

Compound: PrH2ClO2
Source: the Alexandria database
Functional: PBE
Structure: optimized geometry

Computed properties:
VASP energy = -0.213 Ha/atom
spin magnetization = 0.00 μB/cell
space-group type = P2_1/m (11)
V = 13.6 Å³/atom

a b c (Å): 3.9729 5.8216 7.1623
angles (deg): 100.01 90.00 90.00
Closest atoms and distances in Å follow each position.
Atoms (fractional coordinates):
H 0.0493 0.1215 0.3335  1 O 1.00
Pr 0.7500 0.4131 0.6968  4 O 2.36-2.60
O 0.2500 0.6122 0.6350  2 H 1.94
O 0.7500 0.9593 0.6253  2 H 1.00
H 0.5493 0.8785 0.6665  1 O 1.00
Pr 0.2500 0.5869 0.3032  4 O 2.36-2.60
H 0.4507 0.1215 0.3335  1 O 1.00
O 0.7500 0.3878 0.3650  2 H 1.94
O 0.2500 0.0407 0.3747  2 H 1.00
Cl 0.2500 0.2428 0.9455  4 H 2.90-3.09, 3 Pr 2.95-2.96
Cl 0.7500 0.7572 0.0545  4 H 2.90-3.09, 3 Pr 2.95-2.96
H 0.9507 0.8785 0.6665  1 O 1.00

=====

Compound: PuHClO2
Source: the Alexandria database
Functional: PBE
Structure: optimized geometry

Computed properties:
VASP energy = -0.291 Ha/atom
spin magnetization = 8.00 μB/cell
space-group type = P2_1/m (11)
V = 14.6 Å³/atom

a b c (Å): 3.5779 6.0184 6.8790
angles (deg): 99.66 90.00 90.00
Closest atoms and distances in Å follow each position.
Atoms (fractional coordinates):
H 0.7500 0.5384 0.7271  1 O 0.98
O 0.7500 0.9413 0.6221  3 Pu 2.21-2.22
O 0.2500 0.6182 0.3428  1 H 0.98
O 0.2500 0.0587 0.3779  3 Pu 2.21-2.22
H 0.2500 0.4616 0.2729  1 O 0.98
Pu 0.7500 0.8451 0.2973  5 O 2.21-2.30
Cl 0.2500 0.7586 0.9444  2 H 2.55
Pu 0.2500 0.1549 0.7027  5 O 2.21-2.30
O 0.7500 0.3818 0.6572  1 H 0.98
Cl 0.7500 0.2414 0.0556  2 H 2.55

=====

Compound: RbH6Cl2O2
Source: the Alexandria database
Functional: PBE
Structure: optimized geometry

Computed properties:
VASP energy = -0.144 Ha/atom
spin magnetization = 0.13 μB/cell
space-group type = P-1 (2)
V = 18.5 Å³/atom

a b c (Å): 4.8873 8.9913 8.0588
angles (deg): 140.63 90.00 74.35
Closest atoms and distances in Å follow each position.
Atoms (fractional coordinates):
Rb 0.5000 0.0000 0.5000  6 Cl 3.31-3.65
H 0.1788 0.6427 0.4874  1 O 1.22
H 0.7202 0.2251 0.2158  1 O 1.01
H 0.9483 0.7741 0.7840  1 O 1.01
H 0.0517 0.2259 0.2160  1 O 1.01
O 0.1661 0.6700 0.6617  2 H 1.01
Cl 0.8003 0.4015 0.7422  1 H 1.56
Cl 0.1997 0.5985 0.2578  1 H 1.56
H 0.8212 0.3573 0.5126  1 O 1.22
O 0.8339 0.3300 0.3383  2 H 1.01
H 0.2798 0.7749 0.7842  1 O 1.01

=====

Compound: Rb2HCl6O
Source: the Alexandria database
Functional: PBE
Structure: optimized geometry

Computed properties:
VASP energy = -0.100 Ha/atom
spin magnetization = 1.00 μB/cell
space-group type = I4/mmm (139)
V = 24.7 Å³/atom

a b c (Å): 7.3632 7.3632 6.9125
angles (deg): 57.82 57.82 90.00
Closest atoms and distances in Å follow each position.
Atoms (fractional coordinates):
Cl 0.6696 0.6696 0.6608  1 H 1.54
Cl 0.2055 0.2055 0.0000  1 O 2.14
O 0.0000 0.0000 0.0000  4 Cl 2.14
Cl 0.7945 0.2055 0.0000  1 O 2.14
H 0.5000 0.5000 0.0000  2 Cl 1.54
Rb 0.7500 0.2500 0.5000  12 Cl 3.49-3.75
Cl 0.2055 0.7945 0.0000  1 O 2.14
Cl 0.7945 0.7945 0.0000  1 O 2.14
Cl 0.3304 0.3304 0.3392  1 H 1.54
Rb 0.2500 0.7500 0.5000  12 Cl 3.49-3.75

=====

Compound: RbZnH2Se2ClO6
Source: the Alexandria database
Functional: PBE
Structure: optimized geometry

Computed properties:
VASP energy = -0.176 Ha/atom
spin magnetization = 0.00 μB/cell
space-group type = P2/c (13)
V = 16.8 Å³/atom

a b c (Å): 6.2715 6.5660 10.9129
angles (deg): 77.06 90.00 90.00
Closest atoms and distances in Å follow each position.
Atoms (fractional coordinates):
H 0.3445 0.9342 0.0887  1 O 1.02
H 0.3445 0.0658 0.4113  1 O 1.02
O 0.5165 0.3186 0.1152  1 Se 1.71
Cl 0.0669 0.5000 0.2500  1 Zn 2.30
H 0.6555 0.0658 0.9113  1 O 1.02
O 0.4835 0.3186 0.6152  1 Se 1.71
O 0.7784 0.9623 0.9263  1 H 1.02
Se 0.3197 0.2969 0.0100  3 O 1.71-1.80
Zn 0.5661 0.5000 0.7500  4 O 2.07-2.15, 1 Cl 2.30
O 0.4606 0.2440 0.8837  1 H 1.67, 1 Se 1.74
O 0.2216 0.9623 0.4263  1 H 1.02
O 0.5394 0.7560 0.1163  1 H 1.67, 1 Se 1.74
H 0.6555 0.9342 0.5887  1 O 1.02
O 0.5394 0.2440 0.3837  1 H 1.67, 1 Se 1.74
O 0.7784 0.0377 0.5737  1 H 1.02
Rb 0.1584 0.0000 0.7500  6 O 3.04-3.05
Zn 0.4339 0.5000 0.2500  4 O 2.07-2.15, 1 Cl 2.30
O 0.4835 0.6814 0.8848  1 Se 1.71
O 0.5165 0.6814 0.3848  1 Se 1.71
O 0.2216 0.0377 0.0737  1 H 1.02
Se 0.6803 0.2969 0.5100  3 O 1.71-1.80
Se 0.6803 0.7031 0.9900  3 O 1.71-1.80
Rb 0.8416 0.0000 0.2500  6 O 3.04-3.05
Cl 0.9331 0.5000 0.7500  1 Zn 2.30
O 0.4606 0.7560 0.6163  1 H 1.67, 1 Se 1.74
Se 0.3197 0.7031 0.4900  3 O 1.71-1.80

=====

Compound: Rb3TeH6Cl3O6
Source: the Alexandria database
Functional: PBE
Structure: optimized geometry

Computed properties:
VASP energy = -0.166 Ha/atom
spin magnetization = 0.45 μB/cell
space-group type = R-3c (167)
V = 18.1 Å³/atom

a b c (Å): 9.2060 9.2062 9.2062
angles (deg): 104.53 104.53 104.53
Closest atoms and distances in Å follow each position.
Atoms (fractional coordinates):
Rb 0.7949 0.7050 0.2499  2 O 3.03, 3 Cl 3.25-3.26
H 0.5570 0.5918 0.7945  1 O 1.00
H 0.9429 0.7054 0.9081  1 O 1.00
H 0.7945 0.5570 0.5917  1 O 1.00
Te 0.9999 0.0000 0.9999  6 O 1.96
Te 0.4999 0.5000 0.4999  6 O 1.96
O 0.4989 0.7189 0.5672  1 H 1.00
H 0.4429 0.4082 0.2053  1 O 1.00
H 0.0570 0.2946 0.0917  1 O 1.00
Cl 0.7499 0.9819 0.5180  2 H 2.13
Rb 0.2949 0.7500 0.2049  2 O 3.03, 3 Cl 3.25-3.26
O 0.4326 0.5010 0.2810  1 H 1.00
H 0.4081 0.2054 0.4429  1 O 1.00
Cl 0.9818 0.5181 0.7499  2 H 2.13
Cl 0.0180 0.4819 0.2499  2 H 2.13
O 0.5009 0.2811 0.4326  1 H 1.00
O 0.7810 0.0010 0.9326  1 H 1.00
Cl 0.5180 0.7500 0.9818  2 H 2.13
Rb 0.2049 0.2950 0.7499  2 O 3.03, 3 Cl 3.25-3.26
Rb 0.2499 0.7950 0.7049  2 O 3.03, 3 Cl 3.25-3.26
O 0.9326 0.7811 0.0009  1 H 1.00
Rb 0.7499 0.2050 0.2949  2 O 3.03, 3 Cl 3.25-3.26
O 0.0672 0.2189 0.9989  1 H 1.00
O 0.2188 0.9990 0.0672  1 H 1.00
O 0.0009 0.9327 0.7810  1 H 1.00
H 0.0918 0.0570 0.2945  1 O 1.00
O 0.5672 0.4990 0.7188  1 H 1.00
H 0.2053 0.4429 0.4081  1 O 1.00
O 0.7188 0.5673 0.4989  1 H 1.00
H 0.2945 0.0918 0.0570  1 O 1.00
O 0.2810 0.4327 0.5009  1 H 1.00
O 0.9989 0.0673 0.2188  1 H 1.00
H 0.7053 0.9081 0.9429  1 O 1.00
Cl 0.4818 0.2500 0.0180  2 H 2.13
Cl 0.2499 0.0181 0.4818  2 H 2.13
H 0.5917 0.7946 0.5570  1 O 1.00
H 0.9081 0.9429 0.7053  1 O 1.00
Rb 0.7050 0.2500 0.7949  2 O 3.03, 3 Cl 3.25-3.26

=====

Compound: HRuClO2
Source: the Alexandria database
Functional: PBE
Structure: optimized geometry

Computed properties:
VASP energy = -0.143 Ha/atom
spin magnetization = 0.00 μB/cell
space-group type = P4/mmm (123)
V = 9.5 Å³/atom

a b c (Å): 3.9547 3.0365 3.9547
angles (deg): 90.00 90.00 90.00
Closest atoms and distances in Å follow each position.
Atoms (fractional coordinates):
O 0.0000 0.0000 0.5000  2 H 1.98
O 0.5000 0.0000 0.0000  2 H 1.98
Ru 0.5000 0.5000 0.5000  8 O 2.49
Cl 0.0000 0.5000 0.0000  2 H 1.52
H 0.0000 0.0000 0.0000  2 Cl 1.52